TaTlS2 | PBE-GGA | relaxed

Structure (POSCAR):
```
TaTlS2
1.0
8.1118 0.0000 0.0000
0.0000 8.1118 0.0000
4.0559 4.0559 3.1513
Tl S Ta
2 4 2
Direct
0.2500 0.2500 0.5000
0.7500 0.7500 0.5000
0.6553 0.8447 0.0000
0.3447 0.1553 0.0000
0.1553 0.6553 0.0000
0.8447 0.3447 0.0000
0.2500 0.7500 0.5000
0.7500 0.2500 0.5000
```

Computed properties:
DOS(E_F) = 5.0 states/eV/cell
Uncorrected energy = -49.1 eV/cell
Symmetry = I4/mcm (140)
Energy relative to the elements, uncorrected = -0.516 eV/atom